Below is a crystal of TaCuRe2 relaxed with PBEsol, with properties calculated at the meta-GGA SCAN level.

a = 2.6857 Å, b = 2.6857 Å, c = 8.5627 Å
α = 90.00°, β = 90.00°, γ = 107.51°
Closest atoms and distances in Å follow each position.
Sites, in units of the cell vectors:
Re  0.5000  0.5000  0.7550  6 Re 2.66-2.69, 2 Ta 2.74
Re  0.0000  0.0000  0.0045  2 Cu 2.61, 6 Re 2.66-2.69
Cu  0.5000  0.5000  0.2459  2 Re 2.61, 2 Ta 2.66, 4 Cu 2.69
Ta  0.0000  0.0000  0.4947  2 Cu 2.66, 4 Ta 2.69, 2 Re 2.74

Calculated values
M_tot ... 0.00 μB/atom
Total energy ... -55.835 eV per atom
Relative energy among the computed polymorphs ... 0.45 eV/f.u.
Space-group type ... Cmm2, No. 35
D(E_F) ... 2.50 states/eV/cell
ΔH_f (0 K) ... 0.16 eV/atom

Below is a crystal of TaCuRe2 relaxed with PBEsol, with properties calculated at the meta-GGA SCAN level.

a = 3.2010 Å, b = 3.2010 Å, c = 5.6998 Å
α = 90.00°, β = 90.00°, γ = 90.00°
Closest atoms and distances in Å follow each position.
Sites, in units of the cell vectors:
Re  0.0000  0.0000  0.2747  1 Re 2.57, 4 Cu 2.60, 4 Ta 2.75
Re  0.0000  0.0000  0.7253  1 Re 2.57, 4 Cu 2.60, 4 Ta 2.75
Cu  0.5000  0.5000  0.5000  8 Re 2.60, 2 Ta 2.85
Ta  0.5000  0.5000  0.0000  8 Re 2.75, 2 Cu 2.85

Calculated values
M_tot ... 0.00 μB/atom
Total energy ... -55.904 eV per atom
Relative energy among the computed polymorphs ... 0.17 eV/f.u.
Space-group type ... P4/mmm, No. 123
D(E_F) ... 4.12 states/eV/cell
ΔH_f (0 K) ... 0.09 eV/atom

Below is a crystal of TaCuRe2 relaxed with PBEsol, with properties calculated at the meta-GGA SCAN level.

a = 3.2073 Å, b = 3.2073 Å, c = 5.6715 Å
α = 90.00°, β = 90.00°, γ = 90.00°
Closest atoms and distances in Å follow each position.
Sites, in units of the cell vectors:
Re  0.0000  0.0000  0.9891  4 Cu 2.63, 4 Re 2.68, 1 Ta 2.69
Re  0.5000  0.5000  0.2411  4 Re 2.68, 4 Ta 2.75, 2 Cu 2.76-2.91
Cu  0.5000  0.5000  0.7544  6 Re 2.63-2.91, 4 Ta 2.64
Ta  0.0000  0.0000  0.5154  4 Cu 2.64, 5 Re 2.69-2.75

Calculated values
M_tot ... 0.00 μB/atom
Total energy ... -55.944 eV per atom
Relative energy among the computed polymorphs ... 0.01 eV/f.u.
Space-group type ... P4mm, No. 99
D(E_F) ... 1.95 states/eV/cell
ΔH_f (0 K) ... 0.05 eV/atom

Below is a crystal of CuRe2Tc relaxed with PBEsol, with properties calculated at the meta-GGA SCAN level.

a = 3.0981 Å, b = 3.0981 Å, c = 5.7044 Å
α = 90.00°, β = 90.00°, γ = 90.00°
Closest atoms and distances in Å follow each position.
Sites, in units of the cell vectors:
Re  0.0000  0.0000  0.2733  4 Cu 2.54, 1 Re 2.59, 4 Tc 2.69
Re  0.0000  0.0000  0.7267  4 Cu 2.54, 1 Re 2.59, 4 Tc 2.69
Tc  0.5000  0.5000  0.0000  8 Re 2.69, 2 Cu 2.85
Cu  0.5000  0.5000  0.5000  8 Re 2.54

Calculated values
M_tot ... 0.00 μB/atom
Total energy ... -47.789 eV per atom
Relative energy among the computed polymorphs ... 0.29 eV/f.u.
Space-group type ... P4/mmm, No. 123
D(E_F) ... 3.67 states/eV/cell
ΔH_f (0 K) ... 0.32 eV/atom

Below is a crystal of CuReTc relaxed with PBEsol, with properties calculated at the meta-GGA SCAN level.

a = 3.1183 Å, b = 3.1183 Å, c = 4.6803 Å
α = 109.46°, β = 109.46°, γ = 90.00°
Closest atoms and distances in Å follow each position.
Sites, in units of the cell vectors:
Tc  0.3321  0.3321  0.6641  5 Re 2.59-2.77, 5 Cu 2.61-2.74
Re  0.6678  0.6678  0.3357  5 Tc 2.59-2.77, 5 Cu 2.60-2.74
Cu  0.0001  0.0001  0.0002  5 Re 2.60-2.74, 5 Tc 2.61-2.74

Calculated values
M_tot ... 0.00 μB/atom
Total energy ... -40.318 eV per atom
Space-group type ... I4mm, No. 107
D(E_F) ... 1.81 states/eV/cell
ΔH_f (0 K) ... 0.13 eV/atom

Below is a crystal of CuRe2Tc relaxed with PBEsol, with properties calculated at the meta-GGA SCAN level.

a = 2.7208 Å, b = 4.6405 Å, c = 4.6405 Å
α = 110.20°, β = 90.00°, γ = 90.00°
Closest atoms and distances in Å follow each position.
Sites, in units of the cell vectors:
Cu  0.5000  0.5000  0.5000  2 Tc 2.65, 8 Re 2.69, 2 Cu 2.72
Re  0.0000  0.5000  0.0000  4 Re 2.65-2.72, 4 Tc 2.69, 4 Cu 2.69
Re  0.0000  0.0000  0.5000  4 Re 2.65-2.72, 4 Cu 2.69, 4 Tc 2.69
Tc  0.5000  0.0000  0.0000  2 Cu 2.65, 8 Re 2.69, 2 Tc 2.72

Calculated values
M_tot ... 0.00 μB/atom
Total energy ... -47.861 eV per atom
Relative energy among the computed polymorphs ... 0.00 eV/f.u.
Space-group type ... Cmmm, No. 65
D(E_F) ... 3.53 states/eV/cell
ΔH_f (0 K) ... 0.25 eV/atom

Look up the ΔH_f (0 K) of the sixth one.
0.25 eV/atom

The lowest ΔH_f (0 K) belongs to which entry?
number 3

What is the ΔH_f (0 K) in the second record?
0.09 eV/atom

Repeat the third record exactly.
Below is a crystal of TaCuRe2 relaxed with PBEsol, with properties calculated at the meta-GGA SCAN level.

a = 3.2073 Å, b = 3.2073 Å, c = 5.6715 Å
α = 90.00°, β = 90.00°, γ = 90.00°
Closest atoms and distances in Å follow each position.
Sites, in units of the cell vectors:
Re  0.0000  0.0000  0.9891  4 Cu 2.63, 4 Re 2.68, 1 Ta 2.69
Re  0.5000  0.5000  0.2411  4 Re 2.68, 4 Ta 2.75, 2 Cu 2.76-2.91
Cu  0.5000  0.5000  0.7544  6 Re 2.63-2.91, 4 Ta 2.64
Ta  0.0000  0.0000  0.5154  4 Cu 2.64, 5 Re 2.69-2.75

Calculated values
M_tot ... 0.00 μB/atom
Total energy ... -55.944 eV per atom
Relative energy among the computed polymorphs ... 0.01 eV/f.u.
Space-group type ... P4mm, No. 99
D(E_F) ... 1.95 states/eV/cell
ΔH_f (0 K) ... 0.05 eV/atom